{"formula": "K2Nd2VO6", "functional": "PBE with a Hubbard U", "state": "relaxed", "mass_density_g_cm3": 4.371, "dft_energy_ev_per_atom": -6.862, "lattice_angstrom": [[2.990, -5.117, 0.000], [2.990, 5.117, 0.000], [-1.617, 0.000, 6.378]], "species": ["K", "K", "Nd", "Nd", "V", "O", "O", "O", "O", "O", "O"], "frac_coords": [[0.157, 0.843, 0.000], [0.843, 0.157, 0.000], [0.334, 0.666, 0.500], [0.666, 0.334, 0.500], [0.000, 0.000, 0.500], [0.043, 0.347, 0.672], [0.221, 0.221, 0.332], [0.347, 0.043, 0.672], [0.653, 0.957, 0.328], [0.779, 0.779, 0.668], [0.957, 0.653, 0.328]]}